Record 1
Computed, not measured: K3H5N2 after structural relaxation at the GGA-PBE level of DFT.

a = 5.5966 Å, b = 8.5269 Å, c = 8.5269 Å
α = 47.51°, β = 70.84°, γ = 70.84°
Fractional coordinates of all 20 atoms:
K1 0.2500 0.0000 0.0000
K2 0.7500 0.0000 0.0000
K3 0.3547 0.5030 0.7875
K4 0.6453 0.4970 0.2125
K5 0.8547 0.7875 0.5030
K6 0.1453 0.2125 0.4970
H1 0.2500 0.5000 0.5000
H2 0.7500 0.5000 0.5000
H3 0.4260 0.8240 0.8240
H4 0.0740 0.1760 0.1760
H5 0.5740 0.1760 0.1760
H6 0.9260 0.8240 0.8240
H7 0.1647 0.6545 0.0161
H8 0.8353 0.3455 0.9839
H9 0.6647 0.0161 0.6545
H10 0.3353 0.9839 0.3455
N1 0.1681 0.8019 0.8619
N2 0.8319 0.1981 0.1381
N3 0.6681 0.8619 0.8019
N4 0.3319 0.1381 0.1981

## Properties
Total magnetic moment, μB per cell: 0.0
E_tot, eV/atom: -3.716
DOS at the Fermi energy, states/eV per atom: 0.00

=====

Record 2
Computed, not measured: Mg5ScHg6 after structural relaxation at the GGA-PBE level of DFT.

a = 4.8244 Å, b = 7.2739 Å, c = 7.6529 Å
α = 90.00°, β = 108.32°, γ = 90.00°
Fractional coordinates of all 12 atoms:
Sc1 0.0000 0.0000 0.0000
Mg1 0.6687 0.5000 0.3404
Mg2 0.3376 0.0000 0.6700
Mg3 0.0000 0.5000 0.0000
Mg4 0.6624 0.0000 0.3300
Mg5 0.3313 0.5000 0.6596
Hg1 0.8348 0.7555 0.6664
Hg2 0.8348 0.2445 0.6664
Hg3 0.5000 0.2568 0.0000
Hg4 0.5000 0.7432 0.0000
Hg5 0.1652 0.7555 0.3336
Hg6 0.1652 0.2445 0.3336

## Properties
Total magnetic moment, μB per cell: 0.0
E_tot, eV/atom: -1.612
DOS at the Fermi energy, states/eV per atom: 0.34
ΔE_f, meV per atom: -269

=====

Record 3
Computed, not measured: Tb2InHg after structural relaxation at the GGA-PBE level of DFT.

a = 3.7429 Å, b = 3.7429 Å, c = 9.6931 Å
α = 78.87°, β = 78.87°, γ = 60.00°
Fractional coordinates of all 4 atoms:
Tb1 0.2515 0.2515 0.2456
Tb2 0.7485 0.7485 0.7544
Hg1 0.0000 0.0000 0.0000
In1 0.5000 0.5000 0.5000

## Properties
Total magnetic moment, μB per cell: 0.0
E_tot, eV/atom: -3.419
DOS at the Fermi energy, states/eV per atom: 0.82
ΔE_f, meV per atom: -344

=====

Record 4
Computed, not measured: Rb4Er3TmTe8 after structural relaxation at the GGA-PBE level of DFT.

a = 8.9866 Å, b = 9.9998 Å, c = 8.9862 Å
α = 116.71°, β = 120.00°, γ = 90.00°
Fractional coordinates of all 16 atoms:
Rb1 0.5000 0.0000 0.0000
Rb2 0.5000 0.0000 0.5000
Rb3 0.0000 0.0000 0.0000
Rb4 0.0000 0.0000 0.5000
Er1 0.5000 0.5000 0.0000
Er2 0.5000 0.5000 0.5000
Er3 0.0000 0.5000 0.5000
Tm1 0.0000 0.5000 0.0000
Te1 0.2320 0.6974 0.9654
Te2 0.2320 0.6974 0.4641
Te3 0.2674 0.3022 0.5348
Te4 0.7333 0.6974 0.9654
Te5 0.2667 0.3026 0.0346
Te6 0.7326 0.6978 0.4652
Te7 0.7680 0.3026 0.5359
Te8 0.7680 0.3026 0.0346

## Properties
Total magnetic moment, μB per cell: 0.0
Energy relative to the elements, uncorrected, eV per atom: -1.3658
E_tot, eV/atom: -4.314

=====

Record 5
Computed, not measured: Ac2MgGe4Pd3 after structural relaxation at the GGA-PBE level of DFT.

a = 4.4415 Å, b = 4.4415 Å, c = 10.8229 Å
α = 90.00°, β = 90.00°, γ = 90.00°
Fractional coordinates of all 10 atoms:
Ac1 0.5000 0.0000 0.2422
Ac2 0.0000 0.5000 0.7578
Mg1 0.5000 0.5000 0.5000
Ge1 0.5000 0.5000 0.0000
Ge2 0.0000 0.0000 0.0000
Ge3 0.5000 0.0000 0.6423
Ge4 0.0000 0.5000 0.3577
Pd1 0.0000 0.0000 0.5000
Pd2 0.5000 0.0000 0.8791
Pd3 0.0000 0.5000 0.1209

## Properties
Total magnetic moment, μB per cell: 0.0
E_tot, eV/atom: -5.153
DOS at the Fermi energy, states/eV per atom: 0.64
ΔE_f, meV per atom: -767

=====

Record 6
Computed, not measured: Li2CeRhO4 after structural relaxation at the GGA-PBE level of DFT.

a = 4.5556 Å, b = 4.5556 Å, c = 5.3814 Å
α = 115.04°, β = 115.04°, γ = 90.00°
Fractional coordinates of all 8 atoms:
Li1 0.2500 0.7500 0.5000
Li2 0.0000 0.0000 0.0000
Ce1 0.5000 0.5000 0.0000
Rh1 0.7500 0.2500 0.5000
O1 0.9951 0.4951 0.9902
O2 0.5049 0.0049 0.0098
O3 0.7591 0.7591 0.5182
O4 0.2409 0.2409 0.4818

## Properties
Total magnetic moment, μB per cell: 0.0
Energy relative to the elements, uncorrected, eV per atom: -2.0504
E_tot, eV/atom: -6.669
DOS at the Fermi energy, states/eV per atom: 0.19

=====

What is the total magnetic moment in the first record?
0.0 μB per cell